(1)
A relaxed Np2CdO8 crystal, computed with GGA-PBE.

abc: 4.0387 6.1883 6.1883
angles: 116.90 91.57 91.57
Atoms (fractional coordinates):
O: 0.5000 0.2581 0.7419
O: 0.6357 0.4334 0.4334
O: 0.0362 0.0735 0.3373
O: 0.9638 0.6627 0.9265
O: 0.0362 0.3373 0.0735
Np: 0.0000 0.6856 0.3144
Np: 0.0000 0.3144 0.6856
O: 0.3643 0.5666 0.5666
O: 0.5000 0.7419 0.2581
Cd: 0.5000 0.0000 0.0000
O: 0.9638 0.9265 0.6627

Output
The symmetry is C2/m, No. 12.

---

(2)
A relaxed Np2Cd4O9 crystal, computed with GGA-PBE.

abc: 5.7049 5.7047 15.7685
angles: 90.00 90.00 60.00
Atoms (fractional coordinates):
O: 0.6906 0.9693 0.4154
Cd: 0.3337 0.3331 0.6875
O: 0.6603 0.3089 0.5847
Cd: 0.6666 0.6667 0.0194
Np: 0.9997 0.0002 0.1452
Cd: 0.3334 0.3333 0.9806
O: 0.2737 0.7263 0.7500
O: 0.6596 0.0311 0.0846
O: 0.9996 0.7269 0.2499
Cd: 0.6670 0.6664 0.8126
O: 0.0307 0.3092 0.0846
O: 0.9688 0.3404 0.4153
Cd: 0.3332 0.3334 0.4807
O: 0.2730 0.0003 0.2500
O: 0.3089 0.6601 0.0846
O: 0.3094 0.0307 0.5846
Cd: 0.3330 0.3336 0.1874
Np: 0.0003 0.9998 0.8548
Cd: 0.6668 0.6666 0.5193
Np: 0.0003 0.9997 0.6453
O: 0.9693 0.6908 0.9154
O: 0.0004 0.2731 0.7501
O: 0.3397 0.6911 0.4153
Cd: 0.6663 0.6669 0.3125
O: 0.0312 0.6596 0.5847
O: 0.3404 0.9689 0.9154
O: 0.6911 0.3399 0.9154
O: 0.7263 0.2737 0.2500
Np: 0.9997 0.0003 0.3547
O: 0.7270 0.9997 0.7500

Output
The symmetry is P-3c1, No. 165.

---

(3)
A relaxed Np3Cd5O12 crystal, computed with GGA-PBE.

abc: 11.3723 11.3723 11.3723
angles: 109.47 109.47 109.47
Atoms (fractional coordinates):
O: 0.6358 0.5745 0.9027
O: 0.8282 0.9027 0.2669
O: 0.8642 0.5973 0.9255
Cd: 0.5000 0.0000 0.5000
Cd: 0.6250 0.7500 0.8750
O: 0.9027 0.8282 0.7669
O: 0.1358 0.7331 0.5613
O: 0.3642 0.4255 0.0973
Cd: 0.0000 0.0000 0.5000
O: 0.4027 0.1358 0.5745
Cd: 0.3750 0.2500 0.1250
O: 0.1718 0.0973 0.7331
O: 0.5745 0.6358 0.4027
O: 0.9255 0.0973 0.8642
Np: 0.7500 0.8750 0.6250
Cd: 0.0000 0.0000 0.0000
O: 0.4255 0.0613 0.3282
Cd: 0.7500 0.6250 0.3750
O: 0.9387 0.5745 0.1718
O: 0.0973 0.9255 0.3642
O: 0.7669 0.3282 0.9027
Np: 0.8750 0.7500 0.1250
O: 0.5973 0.8642 0.4255
Cd: 0.0000 0.5000 0.5000
Cd: 0.5000 0.5000 0.5000
Np: 0.8750 0.1250 0.2500
Np: 0.6250 0.2500 0.3750
Cd: 0.5000 0.5000 0.0000
O: 0.3642 0.9387 0.7669
O: 0.7331 0.1358 0.0613
O: 0.2331 0.6718 0.0973
O: 0.8642 0.2669 0.4387
Cd: 0.2500 0.3750 0.6250
O: 0.8282 0.9255 0.0613
O: 0.5745 0.9387 0.6718
O: 0.3282 0.5613 0.4255
O: 0.6718 0.2331 0.5973
O: 0.7331 0.5973 0.1718
Cd: 0.8750 0.2500 0.6250
O: 0.7669 0.4387 0.3642
Cd: 0.0000 0.5000 0.0000
Cd: 0.8750 0.6250 0.7500
Cd: 0.1250 0.3750 0.2500
Cd: 0.6250 0.8750 0.2500
O: 0.3282 0.7669 0.4027
O: 0.6718 0.4387 0.5745
Np: 0.3750 0.6250 0.2500
O: 0.0613 0.4255 0.8282
Np: 0.7500 0.3750 0.1250
Cd: 0.2500 0.8750 0.1250
O: 0.2331 0.5613 0.6358
O: 0.4255 0.3642 0.5973
O: 0.5613 0.3282 0.9255
Cd: 0.7500 0.1250 0.8750
O: 0.6358 0.0613 0.2331
Np: 0.1250 0.2500 0.8750
O: 0.2669 0.8642 0.9387
Np: 0.1250 0.8750 0.7500
O: 0.4387 0.6718 0.0745
O: 0.0745 0.9027 0.1358
O: 0.0613 0.6358 0.7331
O: 0.9027 0.0745 0.6358
Cd: 0.5000 0.0000 0.0000
O: 0.5973 0.7331 0.6718
O: 0.9255 0.8282 0.5613
Np: 0.6250 0.3750 0.7500
O: 0.0973 0.1718 0.2331
Cd: 0.3750 0.1250 0.7500
Np: 0.2500 0.6250 0.8750
Np: 0.3750 0.7500 0.6250
O: 0.4387 0.7669 0.8642
O: 0.0745 0.1718 0.4387
O: 0.1358 0.4027 0.0745
O: 0.1718 0.0745 0.9387
O: 0.2669 0.4027 0.8282
O: 0.9387 0.3642 0.2669
Np: 0.2500 0.1250 0.3750
O: 0.4027 0.2669 0.3282
Cd: 0.1250 0.7500 0.3750
O: 0.5613 0.2331 0.1358

Output
The symmetry is Ia-3d, No. 230.

---

(4)
A relaxed Np4CdO12 crystal, computed with GGA-PBE.

abc: 7.1265 7.1265 7.1265
angles: 109.60 109.92 108.90
Atoms (fractional coordinates):
O: 0.0553 0.7870 0.2682
O: 0.7125 0.9448 0.2322
O: 0.2875 0.0552 0.7678
O: 0.7125 0.4803 0.7678
Np: 0.0000 0.5000 0.0000
Np: 0.0000 0.0000 0.5000
O: 0.2875 0.5197 0.2322
Np: 0.5000 0.0000 0.0000
O: 0.1957 0.2999 0.4956
O: 0.8043 0.2999 0.1042
O: 0.5188 0.7870 0.7318
O: 0.1957 0.7001 0.8958
Cd: 0.0000 0.5000 0.5000
O: 0.9447 0.2130 0.7318
O: 0.4812 0.2130 0.2682
Np: 0.5000 0.5000 0.5000
O: 0.8043 0.7001 0.5044

Output
The symmetry is Immm, No. 71.

---

(5)
A relaxed NpPaCd2O8 crystal, computed with GGA-PBE.

abc: 5.0385 5.0382 7.0861
angles: 90.00 90.00 91.85
Atoms (fractional coordinates):
Np: 0.0000 0.0000 0.0000
O: 0.1765 0.8233 0.2313
Cd: 0.5000 0.5000 0.7486
O: 0.2788 0.2784 0.0000
O: 0.7099 0.7099 0.5000
O: 0.2901 0.2901 0.5000
O: 0.8235 0.1767 0.7687
O: 0.8235 0.1767 0.2314
O: 0.7212 0.7216 0.0000
Pa: 0.0000 0.0000 0.5000
Cd: 0.5000 0.5000 0.2514
O: 0.1765 0.8233 0.7686

Output
The symmetry is Cmmm, No. 65.

---

(6)
A relaxed NpCdPb2O8 crystal, computed with GGA-PBE.

abc: 5.1732 5.1733 6.7590
angles: 90.00 90.00 90.47
Atoms (fractional coordinates):
O: 0.6913 0.6919 0.5000
O: 0.1882 0.8115 0.2153
Cd: 0.0000 0.0000 0.5000
O: 0.8118 0.1885 0.7847
Np: 0.0000 0.0000 0.0000
O: 0.3087 0.3081 0.5000
O: 0.8118 0.1885 0.2154
O: 0.3038 0.3035 0.0000
Pb: 0.5000 0.5000 0.7477
O: 0.6962 0.6965 0.0000
Pb: 0.5000 0.5000 0.2523
O: 0.1882 0.8115 0.7846

Output
The symmetry is Cmmm, No. 65.

---

(7)
A relaxed NpCdPbO6 crystal, computed with GGA-PBE.

abc: 5.7938 5.7938 9.4412
angles: 90.00 90.00 120.00
Atoms (fractional coordinates):
O: 0.9573 0.3264 0.1310
O: 0.3690 0.0427 0.1310
O: 0.3264 0.3690 0.8690
O: 0.3264 0.9573 0.6310
O: 0.9573 0.6310 0.3690
Pb: 0.3333 0.6667 0.2500
O: 0.0427 0.3690 0.6310
O: 0.6310 0.9573 0.8690
O: 0.0427 0.6736 0.8690
Np: 0.6667 0.3333 0.2500
Pb: 0.6667 0.3333 0.7500
O: 0.6736 0.0427 0.3690
O: 0.6736 0.6310 0.1310
Np: 0.3333 0.6667 0.7500
Cd: 0.0000 0.0000 0.0000
O: 0.3690 0.3264 0.3690
O: 0.6310 0.6736 0.6310
Cd: 0.0000 0.0000 0.5000

Output
The symmetry is P-31c, No. 163.

---

(8)
A relaxed NpCd2PbO8 crystal, computed with GGA-PBE.

abc: 5.0124 5.0105 7.0055
angles: 90.00 90.00 92.87
Atoms (fractional coordinates):
Cd: 0.5000 0.5000 0.7494
O: 0.8174 0.1837 0.7797
O: 0.7129 0.7142 0.0000
O: 0.8175 0.1837 0.2203
O: 0.1825 0.8163 0.7797
O: 0.7037 0.7050 0.5000
Pb: 0.0000 0.0000 0.5000
Cd: 0.5000 0.5000 0.2506
O: 0.2871 0.2858 0.0000
O: 0.1826 0.8163 0.2203
Np: 0.0000 0.0000 0.0000
O: 0.2963 0.2950 0.5000

Output
The symmetry is Cmmm, No. 65.

---

(9)
A relaxed NpCd2PdO6 crystal, computed with GGA-PBE.

abc: 5.1388 5.7001 6.2486
angles: 117.14 113.77 90.00
Atoms (fractional coordinates):
O: 0.1733 0.6714 0.8201
Pd: 0.5000 0.0000 0.0000
Cd: 0.8171 0.7575 0.5150
O: 0.6575 0.3286 0.6572
O: 0.8267 0.3286 0.1799
O: 0.1733 0.1486 0.8201
O: 0.3425 0.6714 0.3428
Cd: 0.1829 0.2425 0.4850
Np: 0.0000 0.5000 0.0000
O: 0.8267 0.8514 0.1799

Output
The symmetry is C2/m, No. 12.

---

(10)
A relaxed PmNpCd2O6 crystal, computed with GGA-PBE.

abc: 5.8185 5.8183 6.1714
angles: 61.87 61.87 60.00
Atoms (fractional coordinates):
Np: 0.3194 0.3194 0.0418
Cd: 0.0278 0.0279 0.9166
O: 0.5844 0.2099 0.2576
O: 0.2100 0.9480 0.2576
O: 0.6891 0.1144 0.7763
Cd: 0.5359 0.5359 0.3922
O: 0.4202 0.6891 0.7763
Pm: 0.8123 0.8123 0.5630
O: 0.1145 0.4202 0.7762
O: 0.9480 0.5843 0.2577

Output
The symmetry is R3, No. 146.

---

(11)
A relaxed NpCd2PtO6 crystal, computed with GGA-PBE.

abc: 4.9709 5.6791 6.1633
angles: 117.43 110.23 90.00
Atoms (fractional coordinates):
Np: 0.0000 0.5000 0.0000
Cd: 0.8064 0.7689 0.5378
O: 0.6693 0.3337 0.6673
Cd: 0.1936 0.2311 0.4622
Pt: 0.5000 0.0000 0.0000
O: 0.8190 0.3299 0.1883
O: 0.1810 0.6701 0.8117
O: 0.8190 0.8584 0.1883
O: 0.3307 0.6663 0.3327
O: 0.1810 0.1416 0.8117

Output
The symmetry is C2/m, No. 12.

---

(12)
A relaxed NpCd2PtO8 crystal, computed with GGA-PBE.

abc: 5.0967 5.0770 6.5082
angles: 90.00 90.00 93.01
Atoms (fractional coordinates):
O: 0.1754 0.8212 0.2550
Cd: 0.5000 0.5000 0.2572
O: 0.7218 0.7252 0.5000
O: 0.8246 0.1788 0.2550
O: 0.2807 0.2777 0.0000
Np: 0.0000 0.0000 0.0000
Cd: 0.5000 0.5000 0.7428
O: 0.2782 0.2748 0.5000
O: 0.7193 0.7223 0.0000
O: 0.1754 0.8212 0.7450
Pt: 0.0000 0.0000 0.5000
O: 0.8246 0.1788 0.7450

Output
The symmetry is P2/m, No. 10.

---

(13)
A relaxed RbNpCdO6 crystal, computed with GGA-PBE.

abc: 5.7410 5.7409 6.2289
angles: 90.00 90.00 60.00
Atoms (fractional coordinates):
Np: 0.3333 0.3333 0.5000
O: 0.3540 0.6039 0.3171
O: 0.6039 0.3540 0.6829
O: 0.3538 0.0421 0.6829
O: 0.0420 0.6041 0.6829
Cd: 0.6666 0.6667 0.5000
Rb: 0.0000 0.0000 0.0000
O: 0.0421 0.3539 0.3171
O: 0.6040 0.0420 0.3171

Output
The symmetry is P312, No. 149.

---

(14)
A relaxed Rb4Np3CdO12 crystal, computed with GGA-PBE.

abc: 7.5139 7.5139 7.5139
angles: 109.47 109.47 109.47
Atoms (fractional coordinates):
Np: 0.0000 0.5000 0.5000
Rb: 0.5000 0.5000 0.5000
O: 0.2750 0.2750 0.0000
Np: 0.5000 0.5000 0.0000
Rb: 0.0000 0.0000 0.5000
O: 0.0000 0.7250 0.7250
O: 0.0000 0.2750 0.2750
O: 0.7250 0.0000 0.7250
O: 0.7500 0.5000 0.2500
Rb: 0.5000 0.0000 0.0000
Cd: 0.0000 0.0000 0.0000
O: 0.7250 0.7250 0.0000
O: 0.2500 0.5000 0.7500
O: 0.5000 0.7500 0.2500
O: 0.5000 0.2500 0.7500
Np: 0.5000 0.0000 0.5000
O: 0.2500 0.7500 0.5000
Rb: 0.0000 0.5000 0.0000
O: 0.7500 0.2500 0.5000
O: 0.2750 0.0000 0.2750

Output
The symmetry is Im-3m, No. 229.

---

(15)
A relaxed Rb2NpCd2O6 crystal, computed with GGA-PBE.

abc: 5.8394 5.8394 7.0525
angles: 99.59 99.59 118.41
Atoms (fractional coordinates):
O: 0.2318 0.2318 0.3265
Cd: 0.3360 0.6640 0.5000
O: 0.0570 0.3584 0.6788
Rb: 0.8240 0.1760 0.0000
O: 0.9430 0.6416 0.3212
Np: 0.0000 0.0000 0.5000
O: 0.6416 0.9430 0.3212
O: 0.7682 0.7682 0.6735
O: 0.3584 0.0570 0.6788
Cd: 0.6640 0.3360 0.5000
Rb: 0.1760 0.8240 0.0000

Output
The symmetry is C2/m, No. 12.

---

(16)
A relaxed Rb2NpCdO6 crystal, computed with GGA-PBE.

abc: 6.1370 6.1355 6.1310
angles: 59.96 59.96 89.96
Atoms (fractional coordinates):
O: 0.7317 0.7317 0.5367
Rb: 0.7501 0.2501 0.4999
O: 0.7305 0.7313 0.9998
O: 0.2683 0.2683 0.4633
Np: 0.5000 0.5000 0.0000
Rb: 0.2499 0.7499 0.5001
O: 0.2687 0.7307 0.0000
O: 0.7313 0.2693 0.0000
Cd: 0.0000 0.0000 0.0000
O: 0.2695 0.2687 0.0002

Output
The symmetry is I4/mmm, No. 139.

---

Number 1: formation energy from raw total energies -1917 meV per atom. Number 2: formation energy from raw total energies -1850 meV per atom. Number 3: formation energy from raw total energies -1737 meV per atom. Number 4: formation energy from raw total energies -2602 meV per atom. Number 5: formation energy from raw total energies -2351 meV per atom. Number 6: formation energy from raw total energies -1500 meV per atom. Number 7: formation energy from raw total energies -1639 meV per atom. Number 8: formation energy from raw total energies -1384 meV per atom. Number 9: formation energy from raw total energies -1597 meV per atom. Number 10: formation energy from raw total energies -2275 meV per atom. Number 11: formation energy from raw total energies -1590 meV per atom. Number 12: formation energy from raw total energies -1326 meV per atom. Number 13: formation energy from raw total energies -1592 meV per atom. Number 14: formation energy from raw total energies -2411 meV per atom. Number 15: formation energy from raw total energies -1845 meV per atom. Number 16: formation energy from raw total energies -1888 meV per atom.